# 1
TbCePm2Sb4: relaxed, PBE.

Magnetic moment   0.70 μB per formula unit
ΔE_f (raw)   -1.1426 eV per atom

Cell lengths 7.7384, 4.4681, 7.7446 Å; angles 90.00, 109.37, 90.00 degrees
With the nearest neighbours (Å) after each atom.
Atoms (fractional coordinates):
1 Tb 0.0000 0.0000 0.0000  6 Sb 3.13-3.14
2 Ce 0.5000 0.5000 0.0000  6 Sb 3.15-3.16
3 Pm 0.0000 0.5000 0.5000  6 Sb 3.17
4 Pm 0.5000 0.0000 0.5000  6 Sb 3.18-3.19
5 Sb 0.2470 0.5000 0.2451  2 Tb 3.14, 1 Ce 3.15, 3 Pm 3.17-3.19
6 Sb 0.2491 0.0000 0.7530  1 Tb 3.13, 2 Ce 3.16, 3 Pm 3.17-3.18
7 Sb 0.7509 0.0000 0.2470  1 Tb 3.13, 2 Ce 3.16, 3 Pm 3.17-3.18
8 Sb 0.7530 0.5000 0.7549  2 Tb 3.14, 1 Ce 3.15, 3 Pm 3.17-3.19

***

# 2
Nb6Ga2P: relaxed, PBE.

Magnetic moment   0.00 μB per formula unit
Calculated formation energy   -2.510 eV per formula unit

Cell lengths 5.5262, 6.9175, 9.9668 Å; angles 90.00, 123.12, 90.00 degrees
With the nearest neighbours (Å) after each atom.
Atoms (fractional coordinates):
1 Nb 0.0785 0.1785 0.4444  1 P 2.42, 1 Ga 2.68
2 Nb 0.0785 0.3215 0.9444  1 P 2.42, 1 Ga 2.68
3 Nb 0.2929 0.6722 0.4445  1 P 2.46, 2 Ga 2.65-2.70
4 Nb 0.2929 0.8278 0.9445  1 P 2.46, 2 Ga 2.65-2.70
5 Nb 0.3051 0.0053 0.2093  1 P 2.48, 2 Ga 2.73-2.74
6 Nb 0.3051 0.4947 0.7093  1 P 2.48, 2 Ga 2.73-2.74
7 Nb 0.6949 0.5053 0.2907  1 P 2.48, 2 Ga 2.73-2.74
8 Nb 0.6949 0.9947 0.7907  1 P 2.48, 2 Ga 2.73-2.74
9 Nb 0.7071 0.1722 0.0555  1 P 2.46, 2 Ga 2.65-2.70
10 Nb 0.7071 0.3278 0.5555  1 P 2.46, 2 Ga 2.65-2.70
11 Nb 0.9215 0.6785 0.0556  1 P 2.42, 1 Ga 2.68
12 Nb 0.9215 0.8215 0.5556  1 P 2.42, 1 Ga 2.68
13 Ga 0.1926 0.1222 0.7508  8 Nb 2.65-2.83
14 Ga 0.1926 0.3778 0.2508  8 Nb 2.65-2.83
15 Ga 0.8074 0.6222 0.7492  8 Nb 2.65-2.83
16 Ga 0.8074 0.8778 0.2492  8 Nb 2.65-2.83
17 P 0.5000 0.0000 0.5000  6 Nb 2.42-2.48
18 P 0.5000 0.5000 0.0000  6 Nb 2.42-2.48

***

# 3
Fe2WSe: relaxed, PBE.

Magnetic moment   4.80 μB per formula unit
ΔE_f (raw)   0.4798 eV per atom

Cell lengths 2.7465, 2.7465, 8.3572 Å; angles 90.00, 90.00, 110.41 degrees
With the nearest neighbours (Å) after each atom.
Atoms (fractional coordinates):
1 Fe 0.0000 0.0000 0.0000  2 Fe 2.44, 2 Se 2.63
2 Fe 0.5000 0.5000 0.2234  2 Fe 2.44, 2 W 2.55
3 W 0.0000 0.0000 0.4637  2 Fe 2.55, 4 W 2.75, 2 Se 2.84
4 Se 0.5000 0.5000 0.7476  2 Fe 2.63, 4 Se 2.75, 2 W 2.84

***

# 4
CsHg2Se2Br: relaxed, PBE.

Magnetic moment   0.00 μB per formula unit
ΔE_f (raw)   -0.6778 eV per atom

Cell lengths 7.1708, 7.1291, 10.4276 Å; angles 90.00, 104.10, 90.00 degrees
With the nearest neighbours (Å) after each atom.
Atoms (fractional coordinates):
1 Cs 0.2403 0.2500 0.0235  4 Br 3.63-3.74, 2 Se 3.80-3.81
2 Cs 0.7597 0.7500 0.9765  4 Br 3.63-3.74, 2 Se 3.80-3.81
3 Hg 0.2872 0.5046 0.6326  2 Se 2.50-2.51
4 Hg 0.2872 0.9954 0.6326  2 Se 2.50-2.51
5 Hg 0.7128 0.0046 0.3674  2 Se 2.50-2.51
6 Hg 0.7128 0.4954 0.3674  2 Se 2.50-2.51
7 Se 0.0539 0.2500 0.6492  2 Hg 2.50
8 Se 0.4739 0.2500 0.3922  2 Hg 2.51
9 Se 0.5261 0.7500 0.6078  2 Hg 2.51
10 Se 0.9461 0.7500 0.3508  2 Hg 2.50
11 Br 0.2361 0.7500 0.9143  2 Hg 3.51, 4 Cs 3.63-3.74
12 Br 0.7639 0.2500 0.0857  2 Hg 3.51, 4 Cs 3.63-3.74

***

# 5
La2TbPm6Y3: relaxed, PBE.

Magnetic moment   0.00 μB per formula unit
Calculated formation energy   0.209 eV per formula unit

Cell lengths 6.3136, 6.3136, 12.0501 Å; angles 95.02, 95.02, 120.02 degrees
With the nearest neighbours (Å) after each atom.
Atoms (fractional coordinates):
1 La 0.1665 0.8335 0.0000  3 La 3.64-3.65, 3 Tb 3.64-3.65, 6 Pm 3.67
2 La 0.8335 0.1665 0.0000  3 La 3.64-3.65, 3 Tb 3.64-3.65, 6 Pm 3.67
3 Tb 0.5000 0.5000 0.0000  6 La 3.64-3.65, 6 Pm 3.67
4 Pm 0.0833 0.4155 0.7465  3 Y 3.60-3.61, 6 Pm 3.63-3.65, 1 Tb 3.67, 2 La 3.67
5 Pm 0.2523 0.2523 0.2537  3 Y 3.60, 6 Pm 3.63-3.65, 1 Tb 3.67, 2 La 3.67
6 Pm 0.4155 0.0833 0.7465  3 Y 3.60-3.61, 6 Pm 3.63-3.65, 1 Tb 3.67, 2 La 3.67
7 Pm 0.5845 0.9167 0.2535  3 Y 3.60-3.61, 6 Pm 3.63-3.65, 1 Tb 3.67, 2 La 3.67
8 Pm 0.7477 0.7477 0.7463  3 Y 3.60, 6 Pm 3.63-3.65, 1 Tb 3.67, 2 La 3.67
9 Pm 0.9167 0.5845 0.2535  3 Y 3.60-3.61, 6 Pm 3.63-3.65, 1 Tb 3.67, 2 La 3.67
10 Y 0.0000 0.0000 0.5000  6 Pm 3.60, 6 Y 3.64-3.65
11 Y 0.3337 0.6663 0.5000  6 Pm 3.60-3.61, 6 Y 3.64-3.65
12 Y 0.6663 0.3337 0.5000  6 Pm 3.60-3.61, 6 Y 3.64-3.65

***

# 6
Hg7Pb3: relaxed, PBE.

Magnetic moment   0.00 μB per formula unit
Calculated formation energy   0.656 eV per formula unit

Cell lengths 10.3636, 10.3636, 6.1774 Å; angles 90.00, 90.00, 120.00 degrees
With the nearest neighbours (Å) after each atom.
Atoms (fractional coordinates):
1 Hg 0.0698 0.5349 0.0000  3 Hg 3.01-3.33, 4 Pb 3.21-3.32
2 Hg 0.1158 0.2317 0.1721  3 Pb 3.14-3.33
3 Hg 0.1158 0.8842 0.1721  3 Pb 3.14-3.33
4 Hg 0.2317 0.1158 0.6721  3 Pb 3.14-3.33
5 Hg 0.3333 0.6667 0.3024  3 Hg 3.01, 3 Pb 3.20
6 Hg 0.4651 0.5349 0.0000  3 Hg 3.01-3.33, 4 Pb 3.21-3.32
7 Hg 0.4651 0.9302 0.0000  3 Hg 3.01-3.33, 4 Pb 3.21-3.32
8 Hg 0.5349 0.0698 0.5000  3 Hg 3.01-3.33, 4 Pb 3.21-3.32
9 Hg 0.5349 0.4651 0.5000  3 Hg 3.01-3.33, 4 Pb 3.21-3.32
10 Hg 0.6667 0.3333 0.8024  3 Hg 3.01, 3 Pb 3.20
11 Hg 0.7683 0.8842 0.1721  3 Pb 3.14-3.33
12 Hg 0.8842 0.1158 0.6721  3 Pb 3.14-3.33
13 Hg 0.8842 0.7683 0.6721  3 Pb 3.14-3.33
14 Hg 0.9302 0.4651 0.5000  3 Hg 3.01-3.33, 4 Pb 3.21-3.32
15 Pb 0.2012 0.4024 0.6499  8 Hg 3.14-3.33
16 Pb 0.2012 0.7988 0.6499  8 Hg 3.14-3.33
17 Pb 0.4024 0.2012 0.1499  8 Hg 3.14-3.33
18 Pb 0.5976 0.7988 0.6499  8 Hg 3.14-3.33
19 Pb 0.7988 0.2012 0.1499  8 Hg 3.14-3.33
20 Pb 0.7988 0.5976 0.1499  8 Hg 3.14-3.33

***

# 7
LiBeV: relaxed, PBE.

Magnetic moment   0.00 μB per formula unit
Calculated formation energy   0.636 eV per formula unit

Cell lengths 5.6738, 2.2668, 11.3073 Å; angles 90.00, 90.00, 90.00 degrees
With the nearest neighbours (Å) after each atom.
Atoms (fractional coordinates):
1 Li 0.1142 0.2500 0.0967  2 Li 2.27, 4 Be 2.50-2.52
2 Li 0.3858 0.7500 0.5967  2 Li 2.27, 4 Be 2.50-2.52
3 Li 0.6142 0.2500 0.4033  2 Li 2.27, 4 Be 2.50-2.52
4 Li 0.8858 0.7500 0.9033  2 Li 2.27, 4 Be 2.50-2.52
5 Be 0.1432 0.2500 0.7543  2 Be 2.27, 4 V 2.48, 4 Li 2.50-2.52
6 Be 0.3568 0.7500 0.2543  2 Be 2.27, 4 V 2.48, 4 Li 2.50-2.52
7 Be 0.6432 0.2500 0.7457  2 Be 2.27, 4 V 2.48, 4 Li 2.50-2.52
8 Be 0.8568 0.7500 0.2457  2 Be 2.27, 4 V 2.48, 4 Li 2.50-2.52
9 V 0.0960 0.2500 0.3992  2 V 2.27, 4 Be 2.48
10 V 0.4040 0.7500 0.8992  2 V 2.27, 4 Be 2.48
11 V 0.5960 0.2500 0.1008  2 V 2.27, 4 Be 2.48
12 V 0.9040 0.7500 0.6008  2 V 2.27, 4 Be 2.48

***

# 8
Tl3In4Bi4: relaxed, PBE.

Magnetic moment   0.00 μB per formula unit
Calculated formation energy   0.139 eV per formula unit

Cell lengths 18.6348, 18.6348, 18.6348 Å; angles 169.33, 163.51, 19.69 degrees
With the nearest neighbours (Å) after each atom.
Atoms (fractional coordinates):
1 Tl 0.0000 0.0000 0.0000  2 Tl 3.47, 8 Bi 3.61, 4 In 3.86
2 Tl 0.3624 0.8624 0.5000  2 Tl 3.47, 4 In 3.57, 6 Bi 3.61-3.78
3 Tl 0.6376 0.1376 0.5000  2 Tl 3.47, 4 In 3.57, 6 Bi 3.61-3.78
4 In 0.0938 0.5938 0.5000  3 Bi 3.19-3.30, 2 In 3.47, 4 Tl 3.57
5 In 0.2657 0.2657 0.0000  4 Bi 3.26-3.47, 6 In 3.39-3.47
6 In 0.7343 0.7343 0.0000  4 Bi 3.26-3.47, 6 In 3.39-3.47
7 In 0.9062 0.4062 0.5000  3 Bi 3.19-3.30, 2 In 3.47, 4 Tl 3.57
8 Bi 0.1837 0.6837 0.5000  5 In 3.26-3.47, 2 Bi 3.47, 4 Tl 3.61
9 Bi 0.4538 0.4538 0.0000  2 In 3.19, 3 Bi 3.40-3.47
10 Bi 0.5462 0.5462 0.0000  2 In 3.19, 3 Bi 3.40-3.47
11 Bi 0.8163 0.3163 0.5000  5 In 3.26-3.47, 2 Bi 3.47, 4 Tl 3.61

***

# 9
TlHgSb2: relaxed, PBE.

Magnetic moment   0.00 μB per formula unit
ΔE_f (raw)   0.1283 eV per atom

Cell lengths 11.5063, 11.5063, 11.5063 Å; angles 17.01, 17.01, 17.01 degrees
With the nearest neighbours (Å) after each atom.
Atoms (fractional coordinates):
1 Tl 0.0000 0.0000 0.0000  6 Tl 3.40, 3 Hg 3.47, 3 Sb 3.60
2 Hg 0.7509 0.7509 0.7509  6 Hg 3.40, 3 Sb 3.46, 3 Tl 3.47
3 Sb 0.2448 0.2448 0.2448  9 Sb 3.27-3.40, 3 Tl 3.60
4 Sb 0.5012 0.5012 0.5012  9 Sb 3.27-3.40, 3 Hg 3.46

***

# 10
LiCoIr2: relaxed, PBE.

Magnetic moment   1.05 μB per formula unit
Calculated formation energy   0.107 eV per formula unit

Cell lengths 4.5338, 4.5338, 2.6156 Å; angles 90.00, 90.00, 108.15 degrees
With the nearest neighbours (Å) after each atom.
Atoms (fractional coordinates):
1 Li 0.0000 0.0000 0.0000  2 Li 2.62, 8 Ir 2.62, 2 Co 2.66
2 Co 0.5000 0.5000 0.0000  2 Co 2.62, 8 Ir 2.62, 2 Li 2.66
3 Ir 0.0000 0.5000 0.5000  4 Ir 2.62-2.66, 4 Co 2.62, 4 Li 2.62
4 Ir 0.5000 0.0000 0.5000  4 Ir 2.62-2.66, 4 Co 2.62, 4 Li 2.62

***

# 11
BeCrFe2: relaxed, PBE.

Magnetic moment   4.36 μB per formula unit
Calculated formation energy   1.952 eV per formula unit

Cell lengths 5.1423, 5.1423, 5.1423 Å; angles 153.45, 132.26, 55.46 degrees
With the nearest neighbours (Å) after each atom.
Atoms (fractional coordinates):
1 Be 0.0000 0.0000 0.0000  2 Fe 2.09
2 Cr 0.5000 0.5000 0.0000  2 Cr 2.36, 4 Be 2.39, 2 Fe 2.46
3 Fe 0.2296 0.2296 0.0000  1 Be 2.09
4 Fe 0.7704 0.7704 0.0000  1 Be 2.09

***

# 12
Pr2YEr3: relaxed, PBE.

Magnetic moment   0.00 μB per formula unit
Calculated formation energy   0.741 eV per formula unit

Cell lengths 11.8445, 11.8445, 10.2665 Å; angles 108.23, 108.23, 17.02 degrees
With the nearest neighbours (Å) after each atom.
Atoms (fractional coordinates):
1 Pr 0.0678 0.0678 0.1344  5 Pr 3.49-3.58, 4 Er 3.71-3.85, 2 Y 3.74
2 Pr 0.3099 0.3099 0.6288  4 Er 3.41-3.57, 1 Y 3.44, 6 Pr 3.51-3.64
3 Pr 0.6901 0.6901 0.3712  4 Er 3.41-3.57, 1 Y 3.44, 6 Pr 3.51-3.64
4 Pr 0.9322 0.9322 0.8656  5 Pr 3.49-3.58, 4 Er 3.71-3.85, 2 Y 3.74
5 Y 0.3111 0.3111 0.9644  5 Er 3.33-3.71, 1 Pr 3.44, 4 Y 3.51-3.62
6 Y 0.6889 0.6889 0.0356  5 Er 3.33-3.71, 1 Pr 3.44, 4 Y 3.51-3.62
7 Er 0.0702 0.0702 0.7616  8 Er 3.51-3.62, 2 Y 3.71, 2 Pr 3.71-3.85
8 Er 0.3058 0.3058 0.2853  3 Y 3.33-3.56, 5 Er 3.49-3.55, 3 Pr 3.50-3.57
9 Er 0.4418 0.4418 0.5540  8 Er 3.25-3.62, 1 Pr 3.41
10 Er 0.5582 0.5582 0.4460  8 Er 3.25-3.62, 1 Pr 3.41
11 Er 0.6942 0.6942 0.7147  3 Y 3.33-3.56, 5 Er 3.49-3.55, 3 Pr 3.50-3.57
12 Er 0.9298 0.9298 0.2384  8 Er 3.51-3.62, 2 Y 3.71, 2 Pr 3.71-3.85